P2IrAu | GGA-PBE | relaxed

The total energy is -5.636 eV per atom. The calculated formation energy is 0.10 eV per atom.

It has space group R3m (No. 160, hexagonal axes), with a = 3.4411 Å, b = 3.4411 Å, c = 20.0157 Å, α = 90.00°, β = 90.00° and γ = 120.00°. Symmetry generates all atoms from P at (0.0000, 0.0000, 0.0000), P at (0.0000, 0.0000, 0.2309), Ir at (0.0000, 0.0000, 0.5101) and Au at (0.0000, 0.0000, 0.7387).